Record 1
The following is a DFT calculation (PBE-GGA) of a geometry-optimized SrLi6ZnAg structure.

Values from the calculation:
- formation energy from the elements (eV/atom) = 0.078

The structure in CIF format:
```
data_SrLi6ZnAg
_cell_length_a 5.515
_cell_length_b 10.804
_cell_length_c 9.433
_cell_angle_alpha 124.93
_cell_angle_beta 107.00
_cell_angle_gamma 90.00
_space_group_name_H-M_alt 'P 1'
_space_group_IT_number 1
_space_group_name_Hall 'P 1'
loop_
_atom_site_label
_atom_site_type_symbol
_atom_site_fract_x
_atom_site_fract_y
_atom_site_fract_z
Sr1 Sr 0.863 0.613 0.725
Sr2 Sr 0.137 0.387 0.275
Li1 Li 0.555 0.805 0.109
Li2 Li 0.910 0.160 0.820
Li3 Li 0.897 0.121 0.312
Li4 Li 0.415 0.691 0.312
Li5 Li 0.415 0.121 0.312
Li6 Li 0.897 0.691 0.312
Li7 Li 0.445 0.195 0.891
Li8 Li 0.090 0.840 0.180
Li9 Li 0.103 0.879 0.688
Li10 Li 0.585 0.309 0.688
Li11 Li 0.585 0.879 0.688
Li12 Li 0.103 0.309 0.688
Zn1 Zn 0.500 0.500 0.000
Zn2 Zn 0.500 0.000 0.000
Ag1 Ag 0.500 0.000 0.500
Ag2 Ag 0.000 0.000 0.500
```

Record 2
The following is a DFT calculation (PBE-GGA) of a geometry-optimized SrLi2ZnAg2 structure.

Values from the calculation:
- formation energy from the elements (eV/atom) = -0.057

The structure in CIF format:
```
data_SrLi2ZnAg2
_cell_length_a 4.996
_cell_length_b 4.996
_cell_length_c 6.062
_cell_angle_alpha 90.00
_cell_angle_beta 90.00
_cell_angle_gamma 90.00
_space_group_name_H-M_alt 'P 1'
_space_group_IT_number 1
_space_group_name_Hall 'P 1'
loop_
_atom_site_label
_atom_site_type_symbol
_atom_site_fract_x
_atom_site_fract_y
_atom_site_fract_z
Sr1 Sr 0.000 0.000 0.500
Li1 Li 0.500 0.500 0.774
Li2 Li 0.500 0.500 0.226
Zn1 Zn 0.000 0.000 0.000
Ag1 Ag 0.500 0.000 0.000
Ag2 Ag 0.000 0.500 0.000
```

Record 3
The following is a DFT calculation (PBE-GGA) of a geometry-optimized Sr2LiZn2Ag5 structure.

Values from the calculation:
- formation energy from the elements (eV/atom) = -0.164

The structure in CIF format:
```
data_Sr2LiZn2Ag5
_cell_length_a 3.957
_cell_length_b 10.583
_cell_length_c 10.583
_cell_angle_alpha 90.00
_cell_angle_beta 90.00
_cell_angle_gamma 90.00
_space_group_name_H-M_alt 'P 1'
_space_group_IT_number 1
_space_group_name_Hall 'P 1'
loop_
_atom_site_label
_atom_site_type_symbol
_atom_site_fract_x
_atom_site_fract_y
_atom_site_fract_z
Sr1 Sr 0.000 0.679 0.179
Sr2 Sr 0.000 0.321 0.821
Sr3 Sr 0.000 0.179 0.321
Sr4 Sr 0.000 0.821 0.679
Li1 Li 0.000 0.000 0.000
Li2 Li 0.000 0.500 0.500
Zn1 Zn 0.000 0.119 0.619
Zn2 Zn 0.000 0.881 0.381
Zn3 Zn 0.000 0.619 0.881
Zn4 Zn 0.000 0.381 0.119
Ag1 Ag 0.500 0.197 0.054
Ag2 Ag 0.500 0.803 0.946
Ag3 Ag 0.500 0.054 0.803
Ag4 Ag 0.500 0.697 0.446
Ag5 Ag 0.500 0.946 0.197
Ag6 Ag 0.500 0.303 0.554
Ag7 Ag 0.500 0.554 0.697
Ag8 Ag 0.500 0.446 0.303
Ag9 Ag 0.500 0.500 0.000
Ag10 Ag 0.500 0.000 0.500
```

Record 4
The following is a DFT calculation (PBE-GGA) of a geometry-optimized Sr2Li12Zn3Ag structure.

Values from the calculation:
- formation energy from the elements (eV/atom) = 0.061

The structure in CIF format:
```
data_Sr2Li12Zn3Ag
_cell_length_a 10.836
_cell_length_b 10.836
_cell_length_c 10.836
_cell_angle_alpha 37.26
_cell_angle_beta 37.26
_cell_angle_gamma 37.26
_space_group_name_H-M_alt 'P 1'
_space_group_IT_number 1
_space_group_name_Hall 'P 1'
loop_
_atom_site_label
_atom_site_type_symbol
_atom_site_fract_x
_atom_site_fract_y
_atom_site_fract_z
Sr1 Sr 0.650 0.650 0.650
Sr2 Sr 0.350 0.350 0.350
Li1 Li 0.410 0.410 0.809
Li2 Li 0.934 0.934 0.353
Li3 Li 0.353 0.934 0.934
Li4 Li 0.809 0.410 0.410
Li5 Li 0.934 0.353 0.934
Li6 Li 0.410 0.809 0.410
Li7 Li 0.590 0.590 0.191
Li8 Li 0.066 0.066 0.647
Li9 Li 0.647 0.066 0.066
Li10 Li 0.191 0.590 0.590
Li11 Li 0.066 0.647 0.066
Li12 Li 0.590 0.191 0.590
Zn1 Zn 0.500 0.000 0.000
Zn2 Zn 0.000 0.500 0.000
Zn3 Zn 0.000 0.000 0.500
Ag1 Ag 0.000 0.000 0.000
```

Record 5
The following is a DFT calculation (PBE-GGA) of a geometry-optimized Sr2LiZnAg6 structure.

Values from the calculation:
- formation energy from the elements (eV/atom) = -0.076

The structure in CIF format:
```
data_Sr2LiZnAg6
_cell_length_a 6.984
_cell_length_b 6.986
_cell_length_c 6.883
_cell_angle_alpha 60.44
_cell_angle_beta 60.45
_cell_angle_gamma 90.34
_space_group_name_H-M_alt 'P 1'
_space_group_IT_number 1
_space_group_name_Hall 'P 1'
loop_
_atom_site_label
_atom_site_type_symbol
_atom_site_fract_x
_atom_site_fract_y
_atom_site_fract_z
Sr1 Sr 0.285 0.715 0.500
Sr2 Sr 0.715 0.285 0.500
Li1 Li 0.000 0.000 0.000
Zn1 Zn 0.500 0.500 0.000
Ag1 Ag 0.243 0.757 0.000
Ag2 Ag 0.798 0.798 0.913
Ag3 Ag 0.202 0.201 0.510
Ag4 Ag 0.757 0.243 0.000
Ag5 Ag 0.202 0.202 0.087
Ag6 Ag 0.798 0.799 0.490
```

Record 6
The following is a DFT calculation (PBE-GGA) of a geometry-optimized SrLiZn2Ag2 structure.

Values from the calculation:
- formation energy from the elements (eV/atom) = -0.234

The structure in CIF format:
```
data_SrLiZn2Ag2
_cell_length_a 4.583
_cell_length_b 4.583
_cell_length_c 7.149
_cell_angle_alpha 90.00
_cell_angle_beta 90.00
_cell_angle_gamma 120.00
_space_group_name_H-M_alt 'P 1'
_space_group_IT_number 1
_space_group_name_Hall 'P 1'
loop_
_atom_site_label
_atom_site_type_symbol
_atom_site_fract_x
_atom_site_fract_y
_atom_site_fract_z
Sr1 Sr 0.000 0.000 0.000
Li1 Li 0.000 0.000 0.500
Zn1 Zn 0.667 0.333 0.688
Zn2 Zn 0.333 0.667 0.312
Ag1 Ag 0.667 0.333 0.308
Ag2 Ag 0.333 0.667 0.692
```

Electronic total energy, respectively: -33.18 -12.83 -47.44 -31.90 -24.42 -13.25 eV per cell.
Total magnetic moment, respectively: 0.00 0.00 0.00 0.00 0.00 0.00 μB per cell.